(1)
# BaLa2Ir, relaxed, DFT GGA-PBE
data_BaLa2Ir
_chemical_formula_sum 'Ba2 La4 Ir2'
_cell_length_a 7.431
_cell_length_b 4.287
_cell_length_c 10.495
_cell_angle_alpha 90.00
_cell_angle_beta 103.41
_cell_angle_gamma 90.00
_space_group_name_H-M_alt 'C 1 2/m 1'
_space_group_IT_number 12
loop_
_space_group_symop_operation_xyz
'x,y,z'
'-x,-y,-z'
'-x,y,-z'
'x,-y,z'
'x+1/2,y+1/2,z'
'-x+1/2,-y+1/2,-z'
'-x+1/2,y+1/2,-z'
'x+1/2,-y+1/2,z'
loop_
_atom_site_label
_atom_site_fract_x
_atom_site_fract_y
_atom_site_fract_z
_atom_site_occupancy
Ba1 0.000 0.000 0.000 1
La1 0.214 0.000 0.645 1
Ir1 0.000 0.500 0.500 1
# formation energy = -0.454 eV/atom



(2)
# Nd12Sm5Sc2, relaxed, DFT GGA-PBE
data_Nd12Sm5Sc2
_chemical_formula_sum 'Nd24 Sm10 Sc4'
_cell_length_a 22.567
_cell_length_b 7.100
_cell_length_c 8.799
_cell_angle_alpha 90.00
_cell_angle_beta 111.95
_cell_angle_gamma 90.00
_space_group_name_H-M_alt 'C 1 2/m 1'
_space_group_IT_number 12
loop_
_space_group_symop_operation_xyz
'x,y,z'
'-x,-y,-z'
'-x,y,-z'
'x,-y,z'
'x+1/2,y+1/2,z'
'-x+1/2,-y+1/2,-z'
'-x+1/2,y+1/2,-z'
'x+1/2,-y+1/2,z'
loop_
_atom_site_label
_atom_site_fract_x
_atom_site_fract_y
_atom_site_fract_z
_atom_site_occupancy
Nd1 0.049 0.000 0.199 1
Nd2 0.104 0.245 0.877 1
Nd3 0.131 0.500 0.528 1
Nd4 0.204 0.248 0.293 1
Sm1 0.000 0.500 0.000 1
Sm2 0.146 0.000 0.594 1
Sm3 0.248 0.500 0.987 1
Sc1 0.000 0.233 0.500 1
# formation energy = 0.145 eV/atom



(3)
# In4PbS7, relaxed, DFT GGA-PBE
data_In4PbS7
_chemical_formula_sum 'In8 Pb2 S14'
_cell_length_a 16.046
_cell_length_b 6.878
_cell_length_c 6.358
_cell_angle_alpha 90.00
_cell_angle_beta 90.00
_cell_angle_gamma 90.00
_space_group_name_H-M_alt 'P m n 21'
_space_group_IT_number 31
loop_
_space_group_symop_operation_xyz
'x,y,z'
'-x+1/2,-y,z+1/2'
'-x,y,z'
'x+1/2,-y,z+1/2'
loop_
_atom_site_label
_atom_site_fract_x
_atom_site_fract_y
_atom_site_fract_z
_atom_site_occupancy
In1 0.121 0.156 0.000 1
In2 0.245 0.679 0.995 1
Pb1 0.000 0.473 0.475 1
S1 0.000 0.368 0.905 1
S2 0.115 0.822 0.877 1
S3 0.116 0.183 0.398 1
S4 0.244 0.677 0.395 1
# formation energy (no corrections) = -0.5293 eV/atom



(4)
# InNiCl2, relaxed, DFT GGA-PBE
data_InNiCl2
_chemical_formula_sum 'In1 Ni1 Cl2'
_cell_length_a 3.254
_cell_length_b 3.254
_cell_length_c 7.789
_cell_angle_alpha 90.00
_cell_angle_beta 90.00
_cell_angle_gamma 90.00
_space_group_name_H-M_alt 'P 4/m m m'
_space_group_IT_number 123
_space_group_name_Hall '-P 4 2'
loop_
_atom_site_label
_atom_site_fract_x
_atom_site_fract_y
_atom_site_fract_z
_atom_site_occupancy
In1 0.000 0.000 0.000 1
Ni1 0.000 0.000 0.500 1
Cl1 0.500 0.500 0.307 1
# formation energy (no corrections) = -0.0667 eV/atom



(5)
# LaY4Zn5, relaxed, DFT GGA-PBE
data_LaY4Zn5
_chemical_formula_sum 'La1 Y4 Zn5'
_cell_length_a 3.605
_cell_length_b 3.605
_cell_length_c 18.196
_cell_angle_alpha 90.00
_cell_angle_beta 90.00
_cell_angle_gamma 90.00
_space_group_name_H-M_alt 'P 4/m m m'
_space_group_IT_number 123
_space_group_name_Hall '-P 4 2'
loop_
_atom_site_label
_atom_site_fract_x
_atom_site_fract_y
_atom_site_fract_z
_atom_site_occupancy
La1 0.000 0.000 0.000 1
Y1 0.000 0.000 0.206 1
Y2 0.000 0.000 0.402 1
Zn1 0.500 0.500 0.113 1
Zn2 0.500 0.500 0.304 1
Zn3 0.500 0.500 0.500 1
# formation energy = -0.345 eV/atom



(6)
# YZn2Hg, relaxed, DFT GGA-PBE
data_YZn2Hg
_chemical_formula_sum 'Y4 Zn8 Hg4'
_cell_length_a 7.794
_cell_length_b 7.794
_cell_length_c 6.060
_cell_angle_alpha 90.00
_cell_angle_beta 90.00
_cell_angle_gamma 90.00
_space_group_name_H-M_alt 'I -4 2 d'
_space_group_IT_number 122
_space_group_name_Hall 'I -4 2bw'
loop_
_atom_site_label
_atom_site_fract_x
_atom_site_fract_y
_atom_site_fract_z
_atom_site_occupancy
Y1 0.000 0.000 0.000 1
Zn1 0.221 0.750 0.625 1
Hg1 0.000 0.000 0.500 1
# formation energy = -0.070 eV/atom



Number 1: size of the total moment 0.0000 μB per atom, DFT total energy -44.91 eV/cell. Number 2: size of the total moment 0.0000 μB per atom, DFT total energy -181.42 eV/cell. Number 3: size of the total moment 0.0000 μB per atom, DFT total energy -99.81 eV/cell. Number 4: size of the total moment 0.2637 μB per atom, DFT total energy -12.48 eV/cell. Number 5: size of the total moment 0.0001 μB per atom, DFT total energy -40.60 eV/cell. Number 6: size of the total moment 0.0000 μB per atom, DFT total energy -38.37 eV/cell.